Record 1
La2Ti2ZnO8: optimized geometry, PBE.

Its uncorrected formation energy is -2.9735 eV per atom. For the uncorrected energy, the calculation gives -8.10 eV per atom.

Lattice parameters (Å, degrees): 3.711 3.711 12.871 90.00 90.00 90.00
Positions (direct):
O1 0.000 0.000 0.747
O2 0.500 0.500 0.752
La1 0.500 0.000 0.614
La2 0.000 0.500 0.386
O3 0.500 0.000 0.428
O4 0.000 0.500 0.572
O5 0.000 0.000 0.253
Zn1 0.500 0.500 0.000
O6 0.500 0.000 0.068
Ti1 0.000 0.500 0.792
O7 0.000 0.500 0.932
Ti2 0.500 0.000 0.208
O8 0.500 0.500 0.248



Record 2
Zn2CdCu2: optimized geometry, PBE.

The value obtained for the formation enthalpy at 0 K is 41 kJ/mol of formula units. For the uncorrected energy, the calculation gives -2.25 eV per atom.

Lattice parameters (Å, degrees): 3.553 3.553 6.774 74.80 74.80 90.00
Positions (direct):
Cu1 0.400 0.400 0.199
Cd1 0.000 0.000 0.000
Zn1 0.250 0.750 0.500
Cu2 0.600 0.600 0.801
Zn2 0.750 0.250 0.500



Record 3
Pm3Pr4Ho8: optimized geometry, PBE.

The value obtained for the formation enthalpy at 0 K is 511 kJ/mol of formula units. For the uncorrected energy, the calculation gives -4.31 eV per atom.

Lattice parameters (Å, degrees): 6.809 9.348 9.348 87.28 111.42 111.42
Positions (direct):
Pm1 0.500 0.000 0.500
Ho1 0.500 0.257 0.743
Pm2 0.500 0.500 0.500
Pr1 0.000 0.000 0.500
Pm3 0.500 0.500 0.000
Ho2 0.000 0.361 0.639
Ho3 0.000 0.639 0.361
Pr2 0.000 0.000 0.000
Pr3 0.500 0.000 0.000
Ho4 0.007 0.270 0.270
Pr4 0.000 0.500 0.000
Ho5 0.500 0.743 0.257
Ho6 0.472 0.731 0.731
Ho7 0.993 0.730 0.730
Ho8 0.528 0.269 0.269



Record 4
Er8Ga3PSe4: optimized geometry, PBE.

Its uncorrected formation energy is -1.2700 eV per atom. For the uncorrected energy, the calculation gives -5.33 eV per atom.

Lattice parameters (Å, degrees): 8.001 8.303 8.001 118.81 120.00 90.00
Positions (direct):
Se1 0.500 0.000 0.000
P1 0.000 0.500 0.000
Er1 0.750 0.751 0.501
Ga1 0.500 0.500 0.500
Er2 0.756 0.260 0.512
Er3 0.244 0.740 0.488
Se2 0.000 0.000 0.500
Er4 0.752 0.740 0.996
Er5 0.756 0.260 0.004
Er6 0.250 0.249 0.499
Er7 0.248 0.260 0.004
Se3 0.500 0.000 0.500
Ga2 0.500 0.500 0.000
Se4 0.000 0.000 0.000
Ga3 0.000 0.500 0.500
Er8 0.244 0.740 0.996



Record 5
LaTaF2: optimized geometry, PBE.

Its uncorrected formation energy is -1.2332 eV per atom. For the uncorrected energy, the calculation gives -6.36 eV per atom.

Lattice parameters (Å, degrees): 5.537 5.537 6.524 64.89 64.89 90.00
Positions (direct):
Ta1 0.750 0.250 0.500
F1 0.624 0.125 0.250
F2 0.375 0.376 0.750
F3 0.126 0.625 0.250
La1 0.500 0.500 0.000
F4 0.875 0.874 0.750
La2 0.250 0.750 0.500
Ta2 0.000 0.000 0.000



Record 6
ZnSiSbH2: optimized geometry, PBE.

For the uncorrected energy, the calculation gives -3.04 eV per atom.

Lattice parameters (Å, degrees): 3.730 5.251 3.730 90.00 90.00 90.00
Positions (direct):
H1 0.000 0.000 0.500
Zn1 0.000 0.500 0.000
Sb1 0.500 0.500 0.500
Si1 0.000 0.000 0.000
H2 0.500 0.000 0.000



Record 7
Tb2CoTc3: optimized geometry, PBE.

The value obtained for the formation enthalpy at 0 K is -85 kJ/mol of formula units. For the uncorrected energy, the calculation gives -8.06 eV per atom.

Lattice parameters (Å, degrees): 5.227 5.227 5.469 89.97 118.58 120.00
Positions (direct):
Tc1 0.500 0.000 0.500
Co1 0.000 0.000 0.000
Tc2 0.500 0.500 0.500
Tb1 0.750 0.375 0.125
Tb2 0.250 0.625 0.875
Tc3 0.000 0.000 0.500



Record 8
VSb3W: optimized geometry, PBE.

Its uncorrected formation energy is 1.0641 eV per atom. For the uncorrected energy, the calculation gives -5.82 eV per atom.

Lattice parameters (Å, degrees): 5.249 5.249 5.249 90.00 90.00 90.00
Positions (direct):
Sb1 0.500 0.000 0.000
Sb2 0.000 0.000 0.500
W1 0.000 0.000 0.000
Sb3 0.000 0.500 0.000
V1 0.500 0.500 0.500



Record 9
Cd2ReW: optimized geometry, PBE.

The value obtained for the formation enthalpy at 0 K is 286 kJ/mol of formula units. For the uncorrected energy, the calculation gives -6.07 eV per atom.

Lattice parameters (Å, degrees): 5.452 5.452 5.452 138.40 138.40 60.29
Positions (direct):
Cd1 0.500 0.500 0.000
Re1 0.250 0.750 0.500
W1 0.750 0.250 0.500
Cd2 0.000 0.000 0.000



Record 10
CaGeP2: optimized geometry, PBE.

The value obtained for the formation enthalpy at 0 K is -206 kJ/mol of formula units. For the uncorrected energy, the calculation gives -4.89 eV per atom.

Lattice parameters (Å, degrees): 7.386 7.386 13.592 82.27 82.27 88.50
Positions (direct):
Ca1 0.839 0.175 0.111
P1 0.947 0.053 0.750
Ge1 0.420 0.299 0.847
Ge2 0.915 0.288 0.849
Ca2 0.825 0.161 0.389
Ge3 0.580 0.701 0.153
Ge4 0.299 0.420 0.347
P2 0.043 0.438 0.258
Ca3 0.335 0.253 0.127
Ca4 0.175 0.839 0.611
P3 0.148 0.210 0.951
P4 0.053 0.947 0.250
Ge5 0.085 0.712 0.151
Ge6 0.712 0.085 0.651
P5 0.340 0.640 0.452
Ge7 0.288 0.915 0.349
P6 0.852 0.790 0.049
P7 0.407 0.593 0.750
P8 0.660 0.360 0.548
P9 0.562 0.957 0.242
P10 0.593 0.407 0.250
Ca5 0.161 0.825 0.889
P11 0.210 0.148 0.451
Ca6 0.665 0.747 0.873
Ge8 0.701 0.580 0.653
P12 0.957 0.562 0.742
P13 0.790 0.852 0.549
Ca7 0.747 0.665 0.373
P14 0.640 0.340 0.952
Ca8 0.253 0.335 0.627
P15 0.360 0.660 0.048
P16 0.438 0.043 0.758



Record 11
Sr2In3Sn2: optimized geometry, PBE.

The value obtained for the formation enthalpy at 0 K is -255 kJ/mol of formula units. For the uncorrected energy, the calculation gives -3.18 eV per atom.

Lattice parameters (Å, degrees): 4.745 6.370 7.806 98.74 90.00 111.87
Positions (direct):
In1 0.304 0.608 0.126
Sr1 0.615 0.230 0.315
In2 0.000 0.000 0.000
Sr2 0.385 0.770 0.685
Sn1 0.900 0.799 0.366
Sn2 0.100 0.201 0.634
In3 0.696 0.392 0.874



Record 12
AcTbAl: optimized geometry, PBE.

The value obtained for the formation enthalpy at 0 K is -44 kJ/mol of formula units. For the uncorrected energy, the calculation gives -4.31 eV per atom.

Lattice parameters (Å, degrees): 3.706 3.706 7.340 104.62 104.62 90.00
Positions (direct):
Tb1 0.305 0.305 0.609
Al1 0.679 0.679 0.358
Ac1 0.016 0.016 0.032



Record 13
ThCd4In: optimized geometry, PBE.

The value obtained for the formation enthalpy at 0 K is -76 kJ/mol of formula units. For the uncorrected energy, the calculation gives -2.43 eV per atom.

Lattice parameters (Å, degrees): 5.056 5.046 6.829 86.61 89.74 120.06
Positions (direct):
Cd1 0.350 0.189 0.250
In1 0.004 0.500 0.998
Cd2 0.683 0.854 0.251
Cd3 0.658 0.810 0.746
Th1 0.004 0.499 0.498
Cd4 0.325 0.144 0.745



Record 14
Rb3Sm2NpTe6: optimized geometry, PBE.

Its uncorrected formation energy is -1.2214 eV per atom. For the uncorrected energy, the calculation gives -4.90 eV per atom.

Lattice parameters (Å, degrees): 7.997 7.997 8.938 98.58 98.58 120.01
Positions (direct):
Sm1 0.667 0.333 0.000
Te1 0.734 0.734 0.202
Sm2 0.333 0.667 0.000
Te2 0.401 0.067 0.202
Np1 0.000 0.000 0.000
Rb1 0.500 0.500 0.500
Te3 0.266 0.266 0.798
Rb2 0.167 0.833 0.500
Te4 0.933 0.599 0.798
Te5 0.599 0.933 0.798
Rb3 0.833 0.167 0.500
Te6 0.067 0.401 0.202



Record 15
Pu3GaPd3: optimized geometry, PBE.

The value obtained for the formation enthalpy at 0 K is -244 kJ/mol of formula units. For the uncorrected energy, the calculation gives -9.16 eV per atom.

Lattice parameters (Å, degrees): 4.996 8.141 8.141 120.00 90.00 90.00
Positions (direct):
Pd1 0.250 0.952 0.177
Pu1 0.750 0.645 0.557
Ga1 0.250 0.667 0.333
Pu2 0.250 0.089 0.645
Pd2 0.750 0.048 0.823
Pd3 0.750 0.177 0.225
Pd4 0.750 0.775 0.952
Ga2 0.750 0.333 0.667
Pu3 0.750 0.443 0.089
Pu4 0.250 0.355 0.443
Pd5 0.250 0.225 0.048
Pu5 0.750 0.911 0.355
Pu6 0.250 0.557 0.911
Pd6 0.250 0.823 0.775



Record 16
Tb2Ho2Ga4Si: optimized geometry, PBE.

Its uncorrected formation energy is -0.2971 eV per atom. For the uncorrected energy, the calculation gives -4.29 eV per atom.

Lattice parameters (Å, degrees): 6.575 6.575 6.575 96.20 116.49 116.49
Positions (direct):
Si1 0.000 0.000 0.000
Ga1 0.000 0.248 0.752
Tb1 0.000 0.695 0.695
Ho1 0.500 0.250 0.750
Ga2 0.503 0.752 0.752
Ga3 0.497 0.248 0.248
Ga4 0.000 0.752 0.248
Tb2 0.000 0.305 0.305
Ho2 0.500 0.750 0.250



Record 17
Tl6In12Bi: optimized geometry, PBE.

The value obtained for the formation enthalpy at 0 K is 107 kJ/mol of formula units. For the uncorrected energy, the calculation gives -2.62 eV per atom.

Lattice parameters (Å, degrees): 8.834 8.834 8.834 106.93 106.93 106.93
Positions (direct):
Tl1 0.083 0.195 0.456
In1 0.138 0.839 0.285
Tl2 0.544 0.917 0.805
In2 0.519 0.813 0.405
Tl3 0.195 0.456 0.083
Tl4 0.917 0.805 0.544
In3 0.161 0.715 0.862
In4 0.187 0.595 0.481
In5 0.715 0.862 0.161
In6 0.405 0.519 0.813
In7 0.481 0.187 0.595
In8 0.839 0.285 0.138
Tl5 0.805 0.544 0.917
In9 0.595 0.481 0.187
Bi1 0.000 0.000 0.000
In10 0.862 0.161 0.715
In11 0.285 0.138 0.839
Tl6 0.456 0.083 0.195
In12 0.813 0.405 0.519



Record 18
IrPt2Cl: optimized geometry, PBE.

Its uncorrected formation energy is 0.3903 eV per atom. For the uncorrected energy, the calculation gives -5.31 eV per atom.

Lattice parameters (Å, degrees): 2.853 2.853 9.504 90.00 90.00 122.17
Positions (direct):
Ir1 0.500 0.500 0.745
Pt1 0.500 0.500 0.238
Pt2 0.000 0.000 0.984
Cl1 0.000 0.000 0.533